# 1
Cs2CoPbAu at its PBEsol-relaxed geometry. Source: Alexandria, functional SCAN.

a = 4.7203 Å, b = 6.3311 Å, c = 6.3311 Å
α = 90.00°, β = 90.00°, γ = 90.00°
Each line ends with the local moment (μB).
Atoms (fractional coordinates):
Pb  0.5000  0.5000  0.5000  0.30
Cs  0.0000  0.0000  0.5000  0.02
Cs  0.0000  0.5000  0.0000  0.02
Au  0.5000  0.0000  0.0000  0.11
Co  0.0000  0.0000  0.0000  2.11

Calculated values
**Formation energy**: 0.503 eV/atom

---

# 2
Co2CuHAu at its PBEsol-relaxed geometry. Source: Alexandria, functional SCAN.

a = 4.6684 Å, b = 4.6684 Å, c = 4.7046 Å
α = 90.00°, β = 90.00°, γ = 90.00°
Each line ends with the local moment (μB).
Atoms (fractional coordinates):
Co  0.0000  0.5000  0.0000  2.15
Co  0.5000  0.0000  0.0000  2.15
Au  0.0000  0.0000  0.0000  0.09
Cu  0.0000  0.0000  0.5000  0.01
H  0.5000  0.5000  0.5000  -0.30

Calculated values
**Calculated total energy**: -114.47 eV/f.u.

---

# 3
CoSnAuF2 at its PBEsol-relaxed geometry. Source: Alexandria, functional SCAN.

a = 4.0811 Å, b = 4.0811 Å, c = 5.7477 Å
α = 90.00°, β = 90.00°, γ = 90.00°
Each line ends with the local moment (μB).
Atoms (fractional coordinates):
Co  0.5000  0.5000  0.5000  2.09
Au  0.0000  0.0000  0.0000  -0.01
Sn  0.0000  0.0000  0.5000  0.01
F  0.0000  0.5000  0.0000  0.00
F  0.5000  0.0000  0.0000  0.00

Calculated values
**Formation energy (no corrections)**: -16.96 kJ/mol of atoms

---

# 4
FeCo2Au at its PBEsol-relaxed geometry. Source: Alexandria, functional SCAN.

a = 2.6725 Å, b = 3.4651 Å, c = 5.3330 Å
α = 90.00°, β = 90.00°, γ = 90.00°
Each line ends with the local moment (μB).
Atoms (fractional coordinates):
Au  0.0000  0.5000  0.7521  0.04
Co  0.5000  0.0000  0.0383  1.89
Co  0.0000  0.5000  0.2426  1.80
Fe  0.5000  0.0000  0.4669  3.06

Calculated values
**Energy above the lowest structure with this stoichiometry**: 0.039 eV/atom
**Formation energy**: 0.004 eV/atom

---

# 5
FeCoAu2 at its PBEsol-relaxed geometry. Source: Alexandria, functional SCAN.

a = 4.3008 Å, b = 4.3008 Å, c = 4.3008 Å
α = 60.00°, β = 60.00°, γ = 60.00°
Each line ends with the local moment (μB).
Atoms (fractional coordinates):
Au  0.2500  0.2500  0.2500  0.03
Au  0.7500  0.7500  0.7500  0.03
Co  0.0000  0.0000  0.0000  1.95
Fe  0.5000  0.5000  0.5000  3.20

Calculated values
**Energy above the lowest structure with this stoichiometry**: 0.122 eV/atom
**Formation energy**: 0.126 eV/atom

---

# 6
FeCoAu2 at its PBEsol-relaxed geometry. Source: Alexandria, functional SCAN.

a = 3.8200 Å, b = 3.8200 Å, c = 4.6959 Å
α = 114.00°, β = 114.00°, γ = 90.00°
Each line ends with the local moment (μB).
Atoms (fractional coordinates):
Au  0.0000  0.0000  0.0000  0.07
Au  0.7500  0.2500  0.5000  0.07
Co  0.5000  0.5000  0.0000  1.93
Fe  0.2500  0.7500  0.5000  3.27

Calculated values
**Energy above the lowest structure with this stoichiometry**: 0.000 eV/atom
**Formation energy**: 0.004 eV/atom

---

# 7
FeCoAu2 at its PBEsol-relaxed geometry. Source: Alexandria, functional SCAN.

a = 3.8131 Å, b = 3.8411 Å, c = 3.8411 Å
α = 90.00°, β = 90.00°, γ = 90.00°
Each line ends with the local moment (μB).
Atoms (fractional coordinates):
Au  0.0000  0.0000  0.5000  0.01
Au  0.0000  0.5000  0.0000  0.01
Co  0.5000  0.5000  0.5000  2.02
Fe  0.5000  0.0000  0.0000  3.26

Calculated values
**Energy above the lowest structure with this stoichiometry**: 0.045 eV/atom
**Formation energy**: 0.049 eV/atom

---

# 8
FeCoAu2 at its PBEsol-relaxed geometry. Source: Alexandria, functional SCAN.

a = 2.8786 Å, b = 4.5070 Å, c = 4.8221 Å
α = 108.33°, β = 107.37°, γ = 90.00°
Each line ends with the local moment (μB).
Atoms (fractional coordinates):
Au  0.9858  0.9713  0.9716  0.05
Au  0.7657  0.2813  0.5314  0.03
Co  0.5246  0.5012  0.0491  1.92
Fe  0.2239  0.7462  0.4478  3.18

Calculated values
**Energy above the lowest structure with this stoichiometry**: 0.041 eV/atom
**Formation energy**: 0.045 eV/atom

---

# 9
FeCoAu3 at its PBEsol-relaxed geometry. Source: Alexandria, functional SCAN.

a = 4.6252 Å, b = 4.6252 Å, c = 4.6252 Å
α = 90.00°, β = 90.00°, γ = 90.00°
Each line ends with the local moment (μB).
Atoms (fractional coordinates):
Co  0.0000  0.0000  0.0000  2.09
Au  0.0000  0.5000  0.0000  0.07
Au  0.0000  0.0000  0.5000  0.07
Au  0.5000  0.0000  0.0000  0.07
Fe  0.5000  0.5000  0.5000  3.46

Calculated values
**Formation energy**: 0.996 eV/atom

---

# 10
FeCo2Au at its PBEsol-relaxed geometry. Source: Alexandria, functional SCAN.

a = 3.6569 Å, b = 3.6569 Å, c = 4.4879 Å
α = 114.04°, β = 114.04°, γ = 90.00°
Each line ends with the local moment (μB).
Atoms (fractional coordinates):
Au  0.7500  0.2500  0.5000  0.04
Co  0.0000  0.0000  0.0000  1.84
Co  0.2500  0.7500  0.5000  1.73
Fe  0.5000  0.5000  0.0000  3.06

Calculated values
**Energy above the lowest structure with this stoichiometry**: 0.000 eV/atom
**Formation energy**: -0.035 eV/atom

---

# 11
Fe2CoTeAu at its PBEsol-relaxed geometry. Source: Alexandria, functional SCAN.

a = 4.3308 Å, b = 4.3308 Å, c = 4.7513 Å
α = 90.00°, β = 90.00°, γ = 90.00°
Each line ends with the local moment (μB).
Atoms (fractional coordinates):
Co  0.0000  0.0000  0.0000  1.57
Te  0.5000  0.5000  0.5000  0.05
Au  0.0000  0.0000  0.5000  0.04
Fe  0.0000  0.5000  0.0000  3.21
Fe  0.5000  0.0000  0.0000  3.21

Calculated values
**Formation energy (no corrections)**: 72.33 kJ/mol of atoms

---

# 12
Ga2Co2Au at its PBEsol-relaxed geometry. Source: Alexandria, functional SCAN.

a = 3.5642 Å, b = 3.5642 Å, c = 6.0360 Å
α = 107.17°, β = 107.17°, γ = 90.00°
Each line ends with the local moment (μB).
Atoms (fractional coordinates):
Co  0.3991  0.3991  0.7982  1.15
Co  0.6009  0.6009  0.2018  1.15
Au  0.0000  0.0000  0.0000  0.03
Ga  0.2500  0.7500  0.5000  -0.06
Ga  0.7500  0.2500  0.5000  -0.06

Calculated values
**Formation energy**: 0.157 eV/atom

---

# 13
Co2H2Au at its PBEsol-relaxed geometry. Source: Alexandria, functional SCAN.

a = 2.8200 Å, b = 2.8200 Å, c = 5.7184 Å
α = 104.27°, β = 104.27°, γ = 90.00°
Each line ends with the local moment (μB).
Atoms (fractional coordinates):
Co  0.3333  0.3333  0.6667  1.42
Co  0.6667  0.6667  0.3333  1.42
Au  0.0000  0.0000  0.0000  0.02
H  0.2500  0.7500  0.5000  -0.03
H  0.7500  0.2500  0.5000  -0.03

Calculated values
**Calculated total energy**: -109.83 eV/f.u.

---

# 14
HfCo3Au at its PBEsol-relaxed geometry. Source: Alexandria, functional SCAN.

a = 4.3903 Å, b = 4.3903 Å, c = 4.3903 Å
α = 90.00°, β = 90.00°, γ = 90.00°
Each line ends with the local moment (μB).
Atoms (fractional coordinates):
Hf  0.0000  0.0000  0.0000  -0.39
Au  0.5000  0.5000  0.5000  0.00
Co  0.0000  0.5000  0.0000  1.10
Co  0.0000  0.0000  0.5000  1.10
Co  0.5000  0.0000  0.0000  1.10

Calculated values
**Formation energy**: 1.417 eV/atom

---

# 15
LiHfCo2Au at its PBEsol-relaxed geometry. Source: Alexandria, functional SCAN.

a = 4.7120 Å, b = 4.7120 Å, c = 4.9276 Å
α = 90.00°, β = 90.00°, γ = 90.00°
Each line ends with the local moment (μB).
Atoms (fractional coordinates):
Hf  0.0000  0.0000  0.5000  -0.26
Li  0.5000  0.5000  0.5000  -0.01
Au  0.0000  0.0000  0.0000  0.02
Co  0.0000  0.5000  0.0000  2.00
Co  0.5000  0.0000  0.0000  2.00

Calculated values
**Formation energy**: 0.874 eV/atom

---

# 16
HfCoPb2Au at its PBEsol-relaxed geometry. Source: Alexandria, functional SCAN.

a = 4.7877 Å, b = 4.7877 Å, c = 4.8563 Å
α = 90.00°, β = 90.00°, γ = 90.00°
Atoms (fractional coordinates):
Pb  0.0000  0.5000  0.0000
Pb  0.5000  0.0000  0.0000
Hf  0.5000  0.5000  0.5000
Au  0.0000  0.0000  0.5000
Co  0.0000  0.0000  0.0000

Calculated values
**Formation energy**: 0.673 eV/atom

---

# 17
HfCo2AuS at its PBEsol-relaxed geometry. Source: Alexandria, functional SCAN.

a = 4.4586 Å, b = 4.4586 Å, c = 5.0790 Å
α = 90.00°, β = 90.00°, γ = 90.00°
Each line ends with the local moment (μB).
Atoms (fractional coordinates):
Hf  0.0000  0.0000  0.0000  -0.37
S  0.5000  0.5000  0.5000  0.01
Au  0.0000  0.0000  0.5000  0.00
Co  0.0000  0.5000  0.0000  1.22
Co  0.5000  0.0000  0.0000  1.22

Calculated values
**Formation energy (no corrections)**: 138.74 kJ/mol of atoms

---

# 18
CoHg2Au at its PBEsol-relaxed geometry. Source: Alexandria, functional SCAN.

a = 4.2131 Å, b = 4.8370 Å, c = 4.2131 Å
α = 64.18°, β = 90.00°, γ = 115.82°
Each line ends with the local moment (μB).
Atoms (fractional coordinates):
Co  0.0000  0.0000  0.0000  1.92
Au  0.5000  0.0000  0.5000  0.02
Hg  0.2500  0.5000  0.2500  -0.01
Hg  0.7500  0.5000  0.7500  -0.01

Calculated values
**Energy above the lowest structure with this stoichiometry**: 0.000 eV/atom
**Formation energy**: 0.287 eV/atom

---

# 19
CoHg2Au at its PBEsol-relaxed geometry. Source: Alexandria, functional SCAN.

a = 2.9581 Å, b = 4.3801 Å, c = 5.4891 Å
α = 90.00°, β = 103.12°, γ = 90.00°
Each line ends with the local moment (μB).
Atoms (fractional coordinates):
Co  0.4367  0.5000  0.7754  1.85
Au  0.3198  0.0000  0.4913  0.00
Hg  0.0144  0.0000  0.9470  -0.03
Hg  0.7291  0.5000  0.2863  -0.02

Calculated values
**Energy above the lowest structure with this stoichiometry**: 0.000 eV/atom
**Formation energy**: 0.287 eV/atom

---

# 20
CoHgAu2 at its PBEsol-relaxed geometry. Source: Alexandria, functional SCAN.

a = 2.8408 Å, b = 4.7328 Å, c = 5.5981 Å
α = 115.01°, β = 104.70°, γ = 90.00°
Each line ends with the local moment (μB).
Atoms (fractional coordinates):
Co  0.0000  0.5000  0.0000  1.96
Au  0.7258  0.7258  0.4515  0.01
Au  0.2742  0.2742  0.5485  0.01
Hg  0.5000  0.0000  0.0000  -0.04

Calculated values
**Formation energy**: 0.229 eV/atom

---

# 21
CoHg2Au at its PBEsol-relaxed geometry. Source: Alexandria, functional SCAN.

a = 2.9589 Å, b = 2.9589 Å, c = 7.6795 Å
α = 90.00°, β = 90.00°, γ = 90.00°
Each line ends with the local moment (μB).
Atoms (fractional coordinates):
Co  0.5000  0.5000  0.5000  1.88
Au  0.5000  0.5000  0.0000  0.00
Hg  0.0000  0.0000  0.7235  -0.02
Hg  0.0000  0.0000  0.2765  -0.02

Calculated values
**Energy above the lowest structure with this stoichiometry**: 0.041 eV/atom
**Formation energy**: 0.328 eV/atom

---

# 22
CoHgAu2 at its PBEsol-relaxed geometry. Source: Alexandria, functional SCAN.

a = 2.9121 Å, b = 2.9112 Å, c = 7.6814 Å
α = 90.00°, β = 90.00°, γ = 90.00°
Each line ends with the local moment (μB).
Atoms (fractional coordinates):
Co  0.5000  0.5000  0.0000  2.12
Au  0.0000  0.0000  0.7848  0.03
Au  0.0000  0.0000  0.2152  0.03
Hg  0.5000  0.5000  0.5000  -0.01

Calculated values
**Formation energy**: 0.127 eV/atom

---

# 23
MgCoHg2Au at its PBEsol-relaxed geometry. Source: Alexandria, functional SCAN.

a = 4.9621 Å, b = 5.1628 Å, c = 5.1628 Å
α = 90.00°, β = 90.00°, γ = 90.00°
Each line ends with the local moment (μB).
Atoms (fractional coordinates):
Co  0.5000  0.5000  0.5000  2.38
Mg  0.5000  0.0000  0.0000  0.00
Au  0.0000  0.0000  0.0000  -0.01
Hg  0.0000  0.0000  0.5000  0.00
Hg  0.0000  0.5000  0.0000  0.00

Calculated values
**Formation energy**: 0.660 eV/atom

---

# 24
In2CoAu at its PBEsol-relaxed geometry. Source: Alexandria, functional SCAN.

a = 3.0639 Å, b = 3.0639 Å, c = 7.1718 Å
α = 90.00°, β = 90.00°, γ = 90.00°
Each line ends with the local moment (μB).
Atoms (fractional coordinates):
Co  0.5000  0.5000  0.5000  0.85
Au  0.5000  0.5000  0.0000  0.00
In  0.0000  0.0000  0.7184  -0.04
In  0.0000  0.0000  0.2816  -0.04

Calculated values
**Formation energy**: 0.086 eV/atom

---

# 25
InCo3Au at its PBEsol-relaxed geometry. Source: Alexandria, functional SCAN.

a = 4.5992 Å, b = 4.5992 Å, c = 4.5992 Å
α = 90.00°, β = 90.00°, γ = 90.00°
Each line ends with the local moment (μB).
Atoms (fractional coordinates):
Co  0.0000  0.5000  0.0000  2.18
Co  0.0000  0.0000  0.5000  2.18
Co  0.5000  0.0000  0.0000  2.18
Au  0.0000  0.0000  0.0000  0.17
In  0.5000  0.5000  0.5000  0.00

Calculated values
**Formation energy**: 1.161 eV/atom

---

# 26
CoIrAu2 at its PBEsol-relaxed geometry. Source: Alexandria, functional SCAN.

a = 2.7955 Å, b = 4.5678 Å, c = 5.3529 Å
α = 115.26°, β = 105.14°, γ = 90.00°
Each line ends with the local moment (μB).
Atoms (fractional coordinates):
Co  0.5000  0.0000  0.0000  2.08
Ir  0.0000  0.5000  0.0000  0.59
Au  0.7632  0.7632  0.5263  0.02
Au  0.2368  0.2368  0.4737  0.02

Calculated values
**Energy above the lowest structure with this stoichiometry**: 0.044 eV/atom
**Formation energy**: 0.343 eV/atom

---

# 27
CoIrAu at its PBEsol-relaxed geometry. Source: Alexandria, functional SCAN.

a = 4.0535 Å, b = 4.0535 Å, c = 4.0535 Å
α = 60.00°, β = 60.00°, γ = 60.00°
Each line ends with the local moment (μB).
Atoms (fractional coordinates):
Co  0.2500  0.2500  0.2500  2.19
Ir  0.0000  0.0000  0.0000  1.08
Au  0.5000  0.5000  0.5000  0.14

Calculated values
**Formation energy**: 0.525 eV/atom

---

# 28
CoIrAu2 at its PBEsol-relaxed geometry. Source: Alexandria, functional SCAN.

a = 2.7723 Å, b = 4.7349 Å, c = 4.7410 Å
α = 108.56°, β = 90.00°, γ = 90.00°
Each line ends with the local moment (μB).
Atoms (fractional coordinates):
Co  0.5000  0.0000  0.5000  2.08
Ir  0.0000  0.5000  0.5000  0.43
Au  0.0000  0.0000  0.0000  0.04
Au  0.5000  0.5000  0.0000  0.04

Calculated values
**Energy above the lowest structure with this stoichiometry**: 0.000 eV/atom
**Formation energy**: 0.299 eV/atom

---

# 29
Co2IrAu at its PBEsol-relaxed geometry. Source: Alexandria, functional SCAN.

a = 2.6724 Å, b = 4.0075 Å, c = 5.0765 Å
α = 90.00°, β = 105.26°, γ = 90.00°
Each line ends with the local moment (μB).
Atoms (fractional coordinates):
Co  0.8115  0.0000  0.6230  2.05
Co  0.6847  0.5000  0.3695  2.02
Ir  0.0869  0.0000  0.1737  0.76
Au  0.4240  0.5000  0.8480  0.09

Calculated values
**Energy above the lowest structure with this stoichiometry**: 0.013 eV/atom
**Formation energy**: 0.174 eV/atom

---

# 30
Co2IrAu at its PBEsol-relaxed geometry. Source: Alexandria, functional SCAN.

a = 2.6748 Å, b = 3.5971 Å, c = 5.4417 Å
α = 90.00°, β = 90.00°, γ = 90.00°
Each line ends with the local moment (μB).
Atoms (fractional coordinates):
Co  0.0000  0.0000  0.7765  2.06
Co  0.0000  0.0000  0.2235  2.06
Ir  0.5000  0.5000  0.0000  0.73
Au  0.5000  0.5000  0.5000  0.08

Calculated values
**Energy above the lowest structure with this stoichiometry**: 0.000 eV/atom
**Formation energy**: 0.161 eV/atom